DFT (GGA-PBE) results for Ca2CrW after structural relaxation.

Values from the calculation:
The value obtained for the magnetization is 1.01 μB per cell. As for the formation energy: 1.65 eV per atom. For the energy relative to the lowest polymorph listed for this composition, the calculation gives 1158 meV per atom. As for the energy: -0.367 Ry per atom.

Lattice parameters (Å, degrees): 8.1652 8.1652 5.3083 90.00 90.00 90.00
Closest atoms and distances in Å follow each position.
Space group I-42d (No. 122)
Unique sites:
1 Ca 0.2242 0.2500 0.1250 (multiplicity 8)  2 Ca 2.69, 2 Cr 2.82
2 Cr 0.0000 0.0000 0.0000 (multiplicity 4)  2 W 2.65, 4 Ca 2.82
3 W 0.0000 0.0000 0.5000 (multiplicity 4)  2 Cr 2.65

***

DFT (GGA-PBE) results for Pa6GaSi after structural relaxation.

Values from the calculation:
The value obtained for the magnetization is 0.00 μB per cell. The uncorrected formation energy is 195 meV/atom. As for the energy: -0.587 Ry per atom.

Lattice parameters (Å, degrees): 8.3025 6.2191 8.4699 90.00 112.77 90.00
Closest atoms and distances in Å follow each position.
Space group C2/m (No. 12)
Unique sites:
1 Pa 0.1604 0.0000 0.0022 (multiplicity 4)  1 Pa 2.65, 1 Si 2.83
2 Pa 0.1817 0.2651 0.3113 (multiplicity 8)  1 Si 2.88, 3 Pa 2.92-3.04, 2 Ga 2.97-3.00
3 Ga 0.0000 0.5000 0.5000 (multiplicity 2)  8 Pa 2.97-3.00
4 Si 0.0000 0.5000 0.0000 (multiplicity 2)  6 Pa 2.83-2.88